Entry from the Alexandria database: a relaxed Ac3NdRu crystal (PBE).

Properties
Size of the total moment: 0.00 μB/cell

Unit cell a=5.792 b=5.792 c=5.792 alpha=90.00 beta=90.00 gamma=90.00
Space group Pm-3m (No. 221)
Symmetry-distinct sites (fractional):
1 Ac 0.000 0.000 0.500 (multiplicity 3)
2 Nd 0.500 0.500 0.500 (multiplicity 1)
3 Ru 0.000 0.000 0.000 (multiplicity 1)

Entry from the Alexandria database: a relaxed Ba2Sr3Bi4 crystal (PBE).

Properties
Size of the total moment: 0.00 μB/cell

Unit cell a=9.585 b=9.097 c=9.028 alpha=90.00 beta=113.12 gamma=90.00
Space group P2_1/c (No. 14)
Symmetry-distinct sites (fractional):
1 Ba 0.188 0.181 0.049 (multiplicity 4)
2 Sr 0.223 0.652 0.219 (multiplicity 4)
3 Sr 0.500 0.000 0.500 (multiplicity 2)
4 Bi 0.098 0.539 0.825 (multiplicity 4)
5 Bi 0.499 0.623 0.622 (multiplicity 4)

Entry from the Alexandria database: a relaxed CaScSb2 crystal (PBE).

Properties
Size of the total moment: 0.00 μB/cell

Unit cell a=3.300 b=3.300 c=10.643 alpha=90.00 beta=90.00 gamma=90.00
Space group P4mm (No. 99)
Symmetry-distinct sites (fractional):
1 Ca 0.000 0.000 0.000 (multiplicity 1)
2 Sc 0.500 0.500 0.722 (multiplicity 1)
3 Sb 0.000 0.000 0.535 (multiplicity 1)
4 Sb 0.500 0.500 0.223 (multiplicity 1)

Entry from the Alexandria database: a relaxed LiDy2NpN4 crystal (PBE).

Properties
Size of the total moment: 3.64 μB/cell

Unit cell a=4.697 b=4.697 c=10.053 alpha=90.00 beta=90.00 gamma=90.00
Space group I4/mmm (No. 139)
Symmetry-distinct sites (fractional):
1 Li 0.000 0.000 0.000 (multiplicity 2)
2 Dy 0.000 0.500 0.250 (multiplicity 4)
3 Np 0.000 0.000 0.500 (multiplicity 2)
4 N 0.000 0.000 0.289 (multiplicity 4)
5 N 0.000 0.500 0.000 (multiplicity 4)

Entry from the Alexandria database: a relaxed Ho3B11 crystal (PBE).

Properties
Size of the total moment: 0.00 μB/cell

Unit cell a=3.272 b=5.627 c=14.575 alpha=90.00 beta=90.00 gamma=90.00
Space group Immm (No. 71)
Symmetry-distinct sites (fractional):
1 Ho 0.000 0.000 0.000 (multiplicity 2)
2 Ho 0.000 0.000 0.244 (multiplicity 4)
3 B 0.000 0.162 0.500 (multiplicity 4)
4 B 0.000 0.320 0.383 (multiplicity 8)
5 B 0.000 0.341 0.121 (multiplicity 8)
6 B 0.000 0.500 0.000 (multiplicity 2)

Entry from the Alexandria database: a relaxed Tl2In4Bi5 crystal (PBE).

Properties
Size of the total moment: 0.00 μB/cell

Unit cell a=11.117 b=7.129 c=8.910 alpha=90.00 beta=91.88 gamma=90.00
Space group C2/m (No. 12)
Symmetry-distinct sites (fractional):
1 Tl 0.126 0.000 0.130 (multiplicity 4)
2 In 0.129 0.500 0.119 (multiplicity 4)
3 In 0.196 0.500 0.472 (multiplicity 4)
4 Bi 0.000 0.000 0.500 (multiplicity 2)
5 Bi 0.119 0.261 0.772 (multiplicity 8)

Entry from the Alexandria database: a relaxed CsK2CrCl8 crystal (PBE).

Properties
Size of the total moment: 1.99 μB/cell

Unit cell a=5.644 b=6.841 c=9.425 alpha=89.96 beta=73.50 gamma=89.89
Space group P-1 (No. 2)
Symmetry-distinct sites (fractional):
1 Cs 0.000 0.000 0.000 (multiplicity 1)
2 K 0.344 0.499 0.312 (multiplicity 2)
3 Cr 0.000 0.000 0.500 (multiplicity 1)
4 Cl 0.175 0.238 0.611 (multiplicity 2)
5 Cl 0.176 0.760 0.610 (multiplicity 2)
6 Cl 0.248 0.500 0.998 (multiplicity 2)
7 Cl 0.338 0.000 0.291 (multiplicity 2)

Entry from the Alexandria database: a relaxed Np2Fe3B12Ru crystal (PBE).

Properties
Size of the total moment: 34.92 μB/cell

Unit cell a=5.3855 b=5.3855 c=22.6331 alpha=90.00 beta=90.00 gamma=120.00
Space group R-3m (No. 166, hexagonal axes)
Symmetry-distinct sites (fractional):
1 Np 0.0000 0.0000 0.1417 (multiplicity 6)
2 Fe 0.0000 0.5000 0.0000 (multiplicity 9)
3 B 0.0800 0.5400 0.0910 (multiplicity 18)
4 B 0.1084 0.2169 0.7384 (multiplicity 18)
5 Ru 0.0000 0.0000 0.5000 (multiplicity 3)

Entry from the Alexandria database: a relaxed BaSiTc2 crystal (PBE).

Properties
Size of the total moment: 0.00 μB/cell

Unit cell a=3.277 b=4.069 c=6.866 alpha=90.00 beta=102.62 gamma=90.00
Space group Pm (No. 6)
Symmetry-distinct sites (fractional):
1 Ba 0.000 0.000 0.000 (multiplicity 1)
2 Si 0.641 0.500 0.296 (multiplicity 1)
3 Tc 0.267 0.500 0.570 (multiplicity 1)
4 Tc 0.707 0.000 0.513 (multiplicity 1)

Entry from the Alexandria database: a relaxed Pm6Hg2Pt crystal (PBE).

Properties
Size of the total moment: 0.00 μB/cell

Unit cell a=6.360 b=8.226 c=12.225 alpha=90.00 beta=120.36 gamma=90.00
Space group P2_1/c (No. 14)
Symmetry-distinct sites (fractional):
1 Pm 0.088 0.198 0.451 (multiplicity 4)
2 Pm 0.306 0.663 0.449 (multiplicity 4)
3 Pm 0.370 0.033 0.243 (multiplicity 4)
4 Hg 0.150 0.114 0.737 (multiplicity 4)
5 Pt 0.500 0.000 0.500 (multiplicity 2)

Entry from the Alexandria database: a relaxed Rb2H2Cl2O crystal (PBE).

Properties
Size of the total moment: 0.00 μB/cell

Unit cell a=9.294 b=8.292 c=4.343 alpha=90.00 beta=106.63 gamma=90.00
Space group C2/m (No. 12)
Symmetry-distinct sites (fractional):
1 Rb 0.000 0.238 0.000 (multiplicity 4)
2 H 0.106 0.500 0.488 (multiplicity 4)
3 Cl 0.207 0.000 0.625 (multiplicity 4)
4 O 0.000 0.500 0.500 (multiplicity 2)

Entry from the Alexandria database: a relaxed Pm2DyYSc crystal (PBE).

Properties
Size of the total moment: 0.00 μB/cell

Unit cell a=8.171 b=11.399 c=7.152 alpha=90.00 beta=90.00 gamma=90.00
Space group Cmcm (No. 63)
Symmetry-distinct sites (fractional):
1 Pm 0.199 0.000 0.000 (multiplicity 8)
2 Dy 0.000 0.222 0.250 (multiplicity 4)
3 Y 0.000 0.245 0.750 (multiplicity 4)
4 Sc 0.000 0.483 0.250 (multiplicity 4)

| no. | E (eV/atom) |
| --- | --- |
| 1 | -5.288 |
| 2 | -3.633 |
| 3 | -4.399 |
| 4 | -8.497 |
| 5 | -6.491 |
| 6 | -3.142 |
| 7 | -3.640 |
| 8 | -7.695 |
| 9 | -6.797 |
| 10 | -4.298 |
| 11 | -3.864 |
| 12 | -5.021 |